{"formula": "TbGd2Os", "functional": "PBE", "state": "optimized geometry", "lattice_angstrom": [[1.748, 1.009, 10.786], [-1.748, 1.009, 10.786], [0.000, -2.018, 10.786]], "species": ["Tb", "Gd", "Gd", "Os"], "fractional_positions": [[0.000, 0.000, 0.000], [0.105, 0.105, 0.105], [0.895, 0.895, 0.895], [0.500, 0.500, 0.500]], "formation_enthalpy_0k_kj_per_mol_atoms": 27.8, "total_magnetization_mub_per_fu": 15.1, "space_group": "R-3m", "polymorph_energy_mev_per_atom": 344.2, "energy_ev_per_atom": -10.72}

---

{"formula": "TbGdOs", "functional": "PBE", "state": "optimized geometry", "lattice_angstrom": [[-1.707, 1.707, 6.705], [1.707, -1.707, 6.705], [1.707, 1.707, -6.705]], "species": ["Tb", "Gd", "Os"], "fractional_positions": [[0.000, 0.000, 0.000], [0.751, 0.751, 0.000], [0.376, 0.376, 0.000]], "formation_enthalpy_0k_kj_per_mol_atoms": -18.6, "total_magnetization_mub_per_fu": 7.1, "space_group": "I4mm", "polymorph_energy_mev_per_atom": 0.0, "energy_ev_per_atom": -10.17}

---

{"formula": "Tb12Gd3Os5", "functional": "PBE", "state": "optimized geometry", "lattice_angstrom": [[-8.800, 8.800, 8.800], [8.800, -8.800, 8.800], [8.800, 8.800, -8.800]], "species": ["Tb", "Tb", "Tb", "Tb", "Tb", "Tb", "Tb", "Tb", "Tb", "Tb", "Tb", "Tb", "Tb", "Tb", "Tb", "Tb", "Tb", "Tb", "Tb", "Tb", "Tb", "Tb", "Tb", "Tb", "Tb", "Tb", "Tb", "Tb", "Tb", "Tb", "Tb", "Tb", "Tb", "Tb", "Tb", "Tb", "Tb", "Tb", "Tb", "Tb", "Tb", "Tb", "Tb", "Tb", "Tb", "Tb", "Tb", "Tb", "Gd", "Gd", "Gd", "Gd", "Gd", "Gd", "Gd", "Gd", "Gd", "Gd", "Gd", "Gd", "Os", "Os", "Os", "Os", "Os", "Os", "Os", "Os", "Os", "Os", "Os", "Os", "Os", "Os", "Os", "Os", "Os", "Os", "Os", "Os"], "fractional_positions": [[0.012, 0.194, 0.094], [0.012, 0.318, 0.919], [0.081, 0.594, 0.399], [0.081, 0.988, 0.682], [0.094, 0.012, 0.194], [0.094, 0.581, 0.899], [0.101, 0.694, 0.682], [0.101, 0.906, 0.419], [0.182, 0.194, 0.601], [0.182, 0.488, 0.581], [0.194, 0.094, 0.012], [0.194, 0.601, 0.182], [0.306, 0.318, 0.899], [0.306, 0.488, 0.406], [0.318, 0.899, 0.306], [0.318, 0.919, 0.012], [0.399, 0.081, 0.594], [0.399, 0.818, 0.806], [0.406, 0.306, 0.488], [0.406, 0.601, 0.919], [0.419, 0.101, 0.906], [0.419, 0.818, 0.512], [0.488, 0.406, 0.306], [0.488, 0.581, 0.182], [0.512, 0.419, 0.818], [0.512, 0.594, 0.694], [0.581, 0.182, 0.488], [0.581, 0.899, 0.094], [0.594, 0.399, 0.081], [0.594, 0.694, 0.512], [0.601, 0.182, 0.194], [0.601, 0.919, 0.406], [0.682, 0.081, 0.988], [0.682, 0.101, 0.694], [0.694, 0.512, 0.594], [0.694, 0.682, 0.101], [0.806, 0.399, 0.818], [0.806, 0.906, 0.988], [0.818, 0.512, 0.419], [0.818, 0.806, 0.399], [0.899, 0.094, 0.581], [0.899, 0.306, 0.318], [0.906, 0.419, 0.101], [0.906, 0.988, 0.806], [0.919, 0.012, 0.318], [0.919, 0.406, 0.601], [0.988, 0.682, 0.081], [0.988, 0.806, 0.906], [0.125, 0.250, 0.375], [0.125, 0.375, 0.750], [0.250, 0.375, 0.125], [0.250, 0.875, 0.625], [0.375, 0.125, 0.250], [0.375, 0.750, 0.125], [0.625, 0.250, 0.875], [0.625, 0.875, 0.750], [0.750, 0.125, 0.375], [0.750, 0.625, 0.875], [0.875, 0.625, 0.250], [0.875, 0.750, 0.625], [0.000, 0.000, 0.000], [0.000, 0.000, 0.500], [0.000, 0.500, 0.000], [0.000, 0.500, 0.500], [0.125, 0.750, 0.875], [0.125, 0.875, 0.250], [0.250, 0.125, 0.875], [0.250, 0.625, 0.375], [0.375, 0.250, 0.625], [0.375, 0.625, 0.750], [0.500, 0.000, 0.000], [0.500, 0.000, 0.500], [0.500, 0.500, 0.000], [0.500, 0.500, 0.500], [0.625, 0.375, 0.250], [0.625, 0.750, 0.375], [0.750, 0.375, 0.625], [0.750, 0.875, 0.125], [0.875, 0.125, 0.750], [0.875, 0.250, 0.125]], "formation_enthalpy_0k_kj_per_mol_atoms": 51.5, "total_magnetization_mub_per_fu": 26.4, "space_group": "Ia-3d", "energy_ev_per_atom": -7.16}

---

{"formula": "TbGd2Os", "functional": "PBE", "state": "optimized geometry", "lattice_angstrom": [[3.415, 0.000, 0.000], [0.000, 3.415, 0.000], [0.000, 0.000, 9.354]], "species": ["Tb", "Gd", "Gd", "Os"], "fractional_positions": [[0.000, 0.000, 0.000], [0.500, 0.500, 0.319], [0.500, 0.500, 0.681], [0.000, 0.000, 0.500]], "formation_enthalpy_0k_kj_per_mol_atoms": -5.4, "total_magnetization_mub_per_fu": 14.1, "space_group": "P4/mmm", "polymorph_energy_mev_per_atom": 0.0, "energy_ev_per_atom": -11.06}

---

{"formula": "Tb2GdOs", "functional": "PBE", "state": "optimized geometry", "lattice_angstrom": [[3.416, 0.000, 0.000], [0.000, 3.416, 0.000], [0.000, 0.000, 9.342]], "species": ["Tb", "Tb", "Gd", "Os"], "fractional_positions": [[0.000, 0.000, 0.179], [0.000, 0.000, 0.821], [0.500, 0.500, 0.500], [0.500, 0.500, 0.000]], "formation_enthalpy_0k_kj_per_mol_atoms": -8.6, "total_magnetization_mub_per_fu": 7.7, "space_group": "P4/mmm", "polymorph_energy_mev_per_atom": 0.0, "energy_ev_per_atom": -8.73}

---

{"formula": "TbGdOs", "functional": "PBE", "state": "optimized geometry", "lattice_angstrom": [[0.000, 3.398, 3.398], [3.398, 0.000, 3.398], [3.398, 3.398, 0.000]], "species": ["Tb", "Gd", "Os"], "fractional_positions": [[0.000, 0.000, 0.000], [0.500, 0.500, 0.500], [0.250, 0.250, 0.250]], "formation_enthalpy_0k_kj_per_mol_atoms": -17.4, "total_magnetization_mub_per_fu": 7.1, "space_group": "F-43m", "polymorph_energy_mev_per_atom": 12.9, "energy_ev_per_atom": -10.16}

---

{"formula": "Tb2GdOs", "functional": "PBE", "state": "optimized geometry", "lattice_angstrom": [[0.000, 3.626, 3.626], [3.626, 0.000, 3.626], [3.626, 3.626, 0.000]], "species": ["Tb", "Tb", "Gd", "Os"], "fractional_positions": [[0.250, 0.250, 0.250], [0.750, 0.750, 0.750], [0.000, 0.000, 0.000], [0.500, 0.500, 0.500]], "formation_enthalpy_0k_kj_per_mol_atoms": 13.4, "total_magnetization_mub_per_fu": 7.4, "space_group": "Fm-3m", "polymorph_energy_mev_per_atom": 228.6, "energy_ev_per_atom": -8.50}

---

{"formula": "TbGdZnOs", "functional": "PBE", "state": "optimized geometry", "lattice_angstrom": [[0.000, 3.494, 3.494], [3.494, 0.000, 3.494], [3.494, 3.494, 0.000]], "species": ["Tb", "Gd", "Zn", "Os"], "fractional_positions": [[0.000, 0.000, 0.000], [0.500, 0.500, 0.500], [0.250, 0.250, 0.250], [0.750, 0.750, 0.750]], "formation_enthalpy_0k_kj_per_mol_atoms": -23.5, "total_magnetization_mub_per_fu": 7.0, "space_group": "F-43m", "energy_ev_per_atom": -8.05}